A plane-wave DFT calculation with PBE was carried out for a relaxed La2TcGe6Os crystal.

abc: 7.4953 7.4953 28.4771
angles: 90.00 90.00 120.00
Space group R-3m (No. 166, hexagonal axes)
Asymmetric unit:
La: 0.0000 0.0000 0.1363 [6 per cell]
La: 0.0000 0.0000 0.2880 [6 per cell]
Tc: 0.0000 0.0000 0.0000 [3 per cell]
Tc: 0.0000 0.0000 0.5000 [3 per cell]
Ge: 0.0108 0.5054 0.1187 [18 per cell]
Ge: 0.0247 0.5124 0.7159 [18 per cell]
Os: 0.0000 0.0000 0.3942 [6 per cell]

Output
The energy of formation is -0.193 eV/atom. The density of states at the Fermi level comes out at 0.801 states/eV per atom.